1.
DFT (PBE) results for Ce6SnPb2 after structural relaxation.

Structure (POSCAR):
```
Ce6SnPb2
1.0
9.1330 0.0000 0.0000
-4.5665 7.9094 0.0000
0.0000 0.0000 3.2779
Ce Sn Pb
6 1 2
Cartesian
-1.4827 2.5680 0.0000 Ce
-3.0838 5.3414 0.0000 Ce
2.9653 0.0000 0.0000 Ce
1.4827 2.5680 0.0000 Ce
6.1677 0.0000 0.0000 Ce
3.0838 5.3414 0.0000 Ce
0.0000 0.0000 1.6390 Sn
0.0000 5.2729 1.6390 Pb
4.5665 2.6365 1.6390 Pb
```

Computed properties:
Offset from the most stable computed form: 0.090 eV/atom
V: 26.31 A^3/atom
Crystal system: hexagonal
E: -5.46 eV/atom
Energy of formation: -0.235 eV/atom

***

2.
DFT (PBE) results for PuTh5Sb5 after structural relaxation.

Structure (POSCAR):
```
PuTh5Sb5
1.0
6.9987 -3.1487 0.0000
6.9987 3.1487 0.0000
-2.8172 0.0000 8.3539
Pu Th Sb
1 5 5
Cartesian
0.0000 0.0000 0.0000 Pu
-1.4086 0.0000 4.1770 Th
2.8464 0.0000 5.5149 Th
4.2586 0.0000 1.5330 Th
6.9215 0.0000 6.8209 Th
8.3337 0.0000 2.8390 Th
1.3722 0.0000 2.7482 Sb
0.0507 0.0000 7.0258 Sb
6.9987 0.0000 0.0000 Sb
11.1294 0.0000 1.3281 Sb
9.8079 0.0000 5.6057 Sb
```

Computed properties:
Formation energy (no corrections): -0.635 eV per atom
V: 33.47 A^3/atom
Crystal system: monoclinic
E: -7.18 eV/atom

***

3.
DFT (PBE) results for Y3Ho4Th4 after structural relaxation.

Structure (POSCAR):
```
Y3Ho4Th4
1.0
10.7011 0.0000 0.0000
0.0000 2.7811 6.0235
0.0000 -2.7811 6.0235
Y Ho Th
3 4 4
Cartesian
0.0000 0.0000 0.0000 Y
3.1919 0.0000 1.7539 Y
7.5092 0.0000 1.7539 Y
0.0000 0.0000 8.3302 Ho
2.2951 0.0000 6.0443 Ho
5.3506 0.0000 7.8700 Ho
8.4060 0.0000 6.0443 Ho
0.0000 0.0000 3.6335 Th
3.0221 0.0000 10.1374 Th
5.3506 0.0000 4.4776 Th
7.6791 0.0000 10.1374 Th
```

Computed properties:
V: 32.59 A^3/atom
Crystal system: orthorhombic
E: -5.94 eV/atom
Energy of formation: 0.182 eV/atom